[1]
A plane-wave DFT calculation with PBE was carried out for a geometry-optimized As2Ir2Pd structure.

Values from the calculation:
Calculated volume ... 171.8 Å³/cell
Final energy ... -6.329 eV per atom
E_form ... 0.11 eV/atom
DOS(E_F) ... 0.381 states/eV per atom

Structure (POSCAR):
```
As2Ir2Pd
1.0
3.9155 0.0000 0.0000
0.0000 3.9155 0.0000
0.0000 0.0000 11.2055
As Ir Pd
4 4 2
direct
0.0000 0.5000 0.2500 As
0.0000 0.5000 0.7500 As
0.5000 0.0000 0.2500 As
0.5000 0.0000 0.7500 As
0.0000 0.0000 0.1152 Ir
0.0000 0.0000 0.8848 Ir
0.5000 0.5000 0.3848 Ir
0.5000 0.5000 0.6152 Ir
0.0000 0.0000 0.5000 Pd
0.5000 0.5000 0.0000 Pd
```


[2]
A plane-wave DFT calculation with PBE was carried out for a geometry-optimized AsIr2Pd2 structure.

Values from the calculation:
Calculated volume ... 166.4 Å³/cell
Final energy ... -6.124 eV per atom
Energy relative to the lowest polymorph listed for this composition ... 282 meV per atom
E_form ... 0.43 eV/atom
DOS(E_F) ... 1.423 states/eV per atom

Structure (POSCAR):
```
AsIr2Pd2
1.0
7.8003 0.0000 0.0000
0.0000 7.8003 0.0000
0.0000 0.0000 2.7345
As Ir Pd
2 4 4
direct
0.0000 0.0000 0.0000 As
0.5000 0.5000 0.0000 As
0.1168 0.3832 0.5000 Ir
0.3832 0.8832 0.5000 Ir
0.6168 0.1168 0.5000 Ir
0.8832 0.6168 0.5000 Ir
0.1807 0.6807 0.0000 Pd
0.3193 0.1807 0.0000 Pd
0.6807 0.8193 0.0000 Pd
0.8193 0.3193 0.0000 Pd
```